An optimized crystal structure of Nd2RhAu3. Source: Alexandria, functional PBE.

```
Nd2RhAu3
1.0
3.706 0.000 0.000
0.000 4.880 0.000
0.000 0.000 7.771
Nd Rh Au
2 1 3
direct
0.000 0.000 0.000
0.000 0.500 0.466
0.500 0.000 0.287
0.500 0.000 0.635
0.500 0.500 0.152
0.500 0.500 0.801
```

Density = 11.607 g cm⁻³
Size of the total moment = 0.000 μB per atom
Formation energy from the elements = -0.6554 eV per atom